Record 1
Entry from Alexandria via LeMat-Bulk: a relaxed structure of CdGeSb (GGA-PBE).

Summary:
Energy ... -8.97 eV/cell
DOS(E_F) ... 1.273 states/eV/cell
Formation energy from raw total energies ... 0.23 eV per atom
Calculated volume ... 24.0 Å³ per atom

Unit cell a=5.2368 b=5.2368 c=3.0368 alpha=90.00 beta=90.00 gamma=120.00
Space group P3m1 (No. 156)
Inequivalent atoms, fractional coordinates:
Cd  0.0000  0.0000  0.0000 [1 per cell]
Ge  0.6667  0.3333  0.5124 [1 per cell]
Sb  0.3333  0.6667  0.5118 [1 per cell]


Record 2
Entry from Alexandria via LeMat-Bulk: a relaxed structure of AlAs2Ir (GGA-PBE).

Summary:
Energy ... -45.05 eV/cell
Formation energy from the elements ... -156 meV/atom
DOS(E_F) ... 3.922 states/eV/cell
Calculated volume ... 20.2 Å³ per atom

Unit cell a=4.772 b=8.521 c=3.965 alpha=90.00 beta=90.00 gamma=90.00
Space group Cmmm (No. 65)
Inequivalent atoms, fractional coordinates:
Al  0.000  0.000  0.000 [2 per cell]
As  0.000  0.321  0.500 [4 per cell]
Ir  0.000  0.500  0.000 [2 per cell]


Record 3
Entry from Alexandria via LeMat-Bulk: a relaxed structure of Na2Si2Pt (GGA-PBE).

Summary:
Energy ... -83.71 eV/cell
DOS(E_F) ... 6.662 states/eV/cell
Formation energy from raw total energies ... -0.28 eV per atom
Calculated volume ... 20.0 Å³ per atom

Unit cell a=8.831 b=5.837 c=7.840 alpha=90.00 beta=99.05 gamma=90.00
Space group C2/c (No. 15)
Inequivalent atoms, fractional coordinates:
Na  0.145  0.117  0.156 [8 per cell]
Si  0.135  0.366  0.508 [8 per cell]
Pt  0.000  0.439  0.750 [4 per cell]


Record 4
Entry from Alexandria via LeMat-Bulk: a relaxed structure of GeC2Cl (GGA-PBE).

Summary:
Energy ... -68.66 eV/cell
DOS(E_F) ... 13.744 states/eV/cell
Formation energy from raw total energies ... 1.94 eV per atom
Calculated volume ... 15.2 Å³ per atom

Unit cell a=5.222 b=5.222 c=8.898 alpha=90.00 beta=90.00 gamma=90.00
Space group I-42d (No. 122)
Inequivalent atoms, fractional coordinates:
Ge  0.000  0.000  0.000 [4 per cell]
C  0.176  0.250  0.125 [8 per cell]
Cl  0.000  0.000  0.500 [4 per cell]


Record 5
Entry from Alexandria via LeMat-Bulk: a relaxed structure of HoAlRuRh (GGA-PBE).

Summary:
Energy ... -110.61 eV/cell
Formation energy from the elements ... -676 meV/atom
DOS(E_F) ... 10.036 states/eV/cell
Calculated volume ... 16.5 Å³ per atom

Unit cell a=6.413 b=6.413 c=6.413 alpha=90.00 beta=90.00 gamma=90.00
Space group F-43m (No. 216)
Inequivalent atoms, fractional coordinates:
Ho  0.000  0.000  0.000 [4 per cell]
Al  0.000  0.000  0.500 [4 per cell]
Ru  0.250  0.250  0.250 [4 per cell]
Rh  0.250  0.250  0.750 [4 per cell]


Record 6
Entry from Alexandria via LeMat-Bulk: a relaxed structure of Cs2RbOsI6 (GGA-PBE).

Summary:
Energy ... -123.57 eV/cell
DOS(E_F) ... 63.453 states/eV/cell
Formation energy from raw total energies ... -0.77 eV per atom
Calculated volume ... 47.4 Å³ per atom

Unit cell a=12.375 b=12.375 c=12.375 alpha=90.00 beta=90.00 gamma=90.00
Space group Fm-3m (No. 225)
Inequivalent atoms, fractional coordinates:
Cs  0.250  0.250  0.250 [8 per cell]
Rb  0.000  0.000  0.000 [4 per cell]
Os  0.000  0.000  0.500 [4 per cell]
I  0.000  0.000  0.281 [24 per cell]


Record 7
Entry from Alexandria via LeMat-Bulk: a relaxed structure of LuHfAlRe (GGA-PBE).

Summary:
Energy ... -126.56 eV/cell
Formation energy from the elements ... -244 meV/atom
DOS(E_F) ... 7.055 states/eV/cell
Calculated volume ... 19.1 Å³ per atom

Unit cell a=6.738 b=6.738 c=6.738 alpha=90.00 beta=90.00 gamma=90.00
Space group F-43m (No. 216)
Inequivalent atoms, fractional coordinates:
Lu  0.000  0.000  0.000 [4 per cell]
Hf  0.000  0.000  0.500 [4 per cell]
Al  0.250  0.250  0.250 [4 per cell]
Re  0.250  0.250  0.750 [4 per cell]


Record 8
Entry from Alexandria via LeMat-Bulk: a relaxed structure of NdDy2Hg3 (GGA-PBE).

Summary:
Energy ... -17.74 eV/cell
Formation energy from the elements ... -476 meV/atom
DOS(E_F) ... 6.346 states/eV/cell
Calculated volume ... 26.6 Å³ per atom

Unit cell a=3.758 b=3.758 c=11.313 alpha=90.00 beta=90.00 gamma=90.00
Space group P4/mmm (No. 123)
Inequivalent atoms, fractional coordinates:
Nd  0.000  0.000  0.000 [1 per cell]
Dy  0.000  0.000  0.337 [2 per cell]
Hg  0.500  0.500  0.180 [2 per cell]
Hg  0.500  0.500  0.500 [1 per cell]


Record 9
Entry from Alexandria via LeMat-Bulk: a relaxed structure of PaNbZnRh (GGA-PBE).

Summary:
Energy ... -115.75 eV/cell
Formation energy from the elements ... -187 meV/atom
DOS(E_F) ... 24.717 states/eV/cell
Calculated volume ... 18.0 Å³ per atom

Unit cell a=6.608 b=6.608 c=6.608 alpha=90.00 beta=90.00 gamma=90.00
Space group F-43m (No. 216)
Inequivalent atoms, fractional coordinates:
Pa  0.000  0.000  0.000 [4 per cell]
Nb  0.250  0.250  0.750 [4 per cell]
Zn  0.000  0.000  0.500 [4 per cell]
Rh  0.250  0.250  0.250 [4 per cell]


Record 10
Entry from Alexandria via LeMat-Bulk: a relaxed structure of Sm6Dy2TmTh (GGA-PBE).

Summary:
Energy ... -191.72 eV/cell
Formation energy from the elements ... 148 meV/atom
DOS(E_F) ... 56.383 states/eV/cell
Calculated volume ... 33.2 Å³ per atom

Unit cell a=9.313 b=14.992 c=9.582 alpha=90.00 beta=96.81 gamma=90.00
Space group C2/c (No. 15)
Inequivalent atoms, fractional coordinates:
Sm  0.062  0.176  0.442 [8 per cell]
Sm  0.095  0.389  0.617 [8 per cell]
Sm  0.209  0.219  0.812 [8 per cell]
Dy  0.250  0.047  0.051 [8 per cell]
Tm  0.000  0.410  0.250 [4 per cell]
Th  0.000  0.030  0.750 [4 per cell]


Copy entry 10 word for word.
Entry from Alexandria via LeMat-Bulk: a relaxed structure of Sm6Dy2TmTh (GGA-PBE).

Summary:
Energy ... -191.72 eV/cell
Formation energy from the elements ... 148 meV/atom
DOS(E_F) ... 56.383 states/eV/cell
Calculated volume ... 33.2 Å³ per atom

Unit cell a=9.313 b=14.992 c=9.582 alpha=90.00 beta=96.81 gamma=90.00
Space group C2/c (No. 15)
Inequivalent atoms, fractional coordinates:
Sm  0.062  0.176  0.442 [8 per cell]
Sm  0.095  0.389  0.617 [8 per cell]
Sm  0.209  0.219  0.812 [8 per cell]
Dy  0.250  0.047  0.051 [8 per cell]
Tm  0.000  0.410  0.250 [4 per cell]
Th  0.000  0.030  0.750 [4 per cell]


Which of these has the lowest calculated volume? GeC2Cl